(1)
VASP calculation (PBE-GGA) on a geometry-optimized Tl3TcNi structure.

The calculation puts the energy relative to the lowest polymorph listed for this composition at 0.690 eV/f.u. For the volume, the calculation gives 149.8 Å³/cell. The total magnetic moment is 2.293 μB per formula unit.

The space group is Pm-3m (No. 221) and the conventional cell measures 5.3106, 5.3106 and 5.3106 Å, with angles of 90.00, 90.00 and 90.00 degrees. The inequivalent atoms are Tl at (0.0000, 0.0000, 0.5000), Tc at (0.0000, 0.0000, 0.0000) and Ni at (0.5000, 0.5000, 0.5000).

(2)
VASP calculation (PBE-GGA) on a geometry-optimized TlTc2Ni structure.

The calculation puts the energy relative to the lowest polymorph listed for this composition at 0.000 eV/f.u. For the volume, the calculation gives 63.6 Å³/cell. The total magnetic moment is 0.000 μB per formula unit.

The space group is Pm (No. 6) and the conventional cell measures 2.9598, 3.6724 and 5.8560 Å, with angles of 90.00, 91.17 and 90.00 degrees. The inequivalent atoms are Tl at (0.0000, 0.0000, 0.0000), Tc at (0.0295, 0.0000, 0.4917), Tc at (0.4752, 0.5000, 0.6820) and Ni at (0.5097, 0.5000, 0.2481).

(3)
VASP calculation (PBE-GGA) on a geometry-optimized TlTc2Ni structure.

The calculation puts the energy relative to the lowest polymorph listed for this composition at 0.695 eV/f.u. For the volume, the calculation gives 62.5 Å³/cell. The total magnetic moment is 0.000 μB per formula unit.

The space group is P2/m (No. 10) and the conventional cell measures 4.4211, 3.0270 and 4.8068 Å, with angles of 90.00, 103.54 and 90.00 degrees. The inequivalent atoms are Tl at (0.0000, 0.0000, 0.0000), Tc at (0.0000, 0.5000, 0.5000), Tc at (0.5000, 0.0000, 0.5000) and Ni at (0.5000, 0.5000, 0.0000).